[1]
# ZrBrO, PBEsol geometry, DFT SCAN
data_ZrBrO
_chemical_formula_sum 'Zr2 Br2 O2'
_cell_length_a 3.6922
_cell_length_b 3.6922
_cell_length_c 9.8666
_cell_angle_alpha 79.22
_cell_angle_beta 79.22
_cell_angle_gamma 60.00
_space_group_name_H-M_alt 'P 1'
_space_group_IT_number 1
loop_
_space_group_symop_operation_xyz
'x,y,z'
loop_
_atom_site_label
_atom_site_type_symbol
_atom_site_fract_x
_atom_site_fract_y
_atom_site_fract_z
_atom_site_occupancy
Zr1 Zr 0.1245 0.1245 0.6266 1
O1 O 0.1992 0.1992 0.4024 1
Br1 Br 0.6070 0.6070 0.1789 1
Zr2 Zr 0.8755 0.8755 0.3734 1
Br2 Br 0.3930 0.3930 0.8211 1
O2 O 0.8008 0.8008 0.5976 1
# **Formation energy without anion corrections**: -2.4865 eV per atom
# **Energy**: -21.28 eV per atom
# **Space-group type**: R-3m

***

[2]
# Al2CdHg, PBEsol geometry, DFT SCAN
data_Al2CdHg
_chemical_formula_sum 'Al2 Cd1 Hg1'
_cell_length_a 4.2643
_cell_length_b 4.2643
_cell_length_c 5.2002
_cell_angle_alpha 114.21
_cell_angle_beta 114.21
_cell_angle_gamma 90.00
_space_group_name_H-M_alt 'P 1'
_space_group_IT_number 1
loop_
_space_group_symop_operation_xyz
'x,y,z'
loop_
_atom_site_label
_atom_site_type_symbol
_atom_site_fract_x
_atom_site_fract_y
_atom_site_fract_z
_atom_site_occupancy
Hg1 Hg 0.0000 0.0000 0.0000 1
Al1 Al 0.7500 0.2500 0.5000 1
Al2 Al 0.2500 0.7500 0.5000 1
Cd1 Cd 0.5000 0.5000 0.0000 1
# **Energy**: -28.38 eV per atom
# **DFT formation energy**: 140 meV/atom
# **Space-group type**: I4/mmm

***

[3]
# Lu2ZnCu, PBEsol geometry, DFT SCAN
data_Lu2ZnCu
_chemical_formula_sum 'Lu2 Zn1 Cu1'
_cell_length_a 4.7776
_cell_length_b 4.7776
_cell_length_c 4.7776
_cell_angle_alpha 60.00
_cell_angle_beta 60.00
_cell_angle_gamma 60.00
_space_group_name_H-M_alt 'P 1'
_space_group_IT_number 1
loop_
_space_group_symop_operation_xyz
'x,y,z'
loop_
_atom_site_label
_atom_site_type_symbol
_atom_site_fract_x
_atom_site_fract_y
_atom_site_fract_z
_atom_site_occupancy
Lu1 Lu 0.7500 0.7500 0.7500 1
Lu2 Lu 0.2500 0.2500 0.2500 1
Cu1 Cu 0.5000 0.5000 0.5000 1
Zn1 Zn 0.0000 0.0000 0.0000 1
# **Energy**: -35.25 eV per atom
# **DFT formation energy**: -399 meV/atom
# **Space-group type**: Fm-3m

***

[4]
# Nd2Mn3FeGe4, PBEsol geometry, DFT SCAN
data_Nd2Mn3FeGe4
_chemical_formula_sum 'Nd2 Mn3 Fe1 Ge4'
_cell_length_a 3.9418
_cell_length_b 3.9418
_cell_length_c 10.7127
_cell_angle_alpha 90.00
_cell_angle_beta 90.00
_cell_angle_gamma 90.00
_space_group_name_H-M_alt 'P 1'
_space_group_IT_number 1
loop_
_space_group_symop_operation_xyz
'x,y,z'
loop_
_atom_site_label
_atom_site_type_symbol
_atom_site_fract_x
_atom_site_fract_y
_atom_site_fract_z
_atom_site_occupancy
Nd1 Nd 0.5000 0.0000 0.7527 1
Mn1 Mn 0.0000 0.0000 0.5000 1
Ge1 Ge 0.0000 0.5000 0.8763 1
Ge2 Ge 0.5000 0.0000 0.3720 1
Ge3 Ge 0.0000 0.5000 0.6280 1
Fe1 Fe 0.5000 0.5000 0.0000 1
Nd2 Nd 0.0000 0.5000 0.2473 1
Ge4 Ge 0.5000 0.0000 0.1237 1
Mn2 Mn 0.5000 0.5000 0.5000 1
Mn3 Mn 0.0000 0.0000 0.0000 1
# **Energy**: -24.24 eV per atom
# **DFT formation energy**: -601 meV/atom
# **Space-group type**: P-4m2

***

[5]
# LaSnSeN2, PBEsol geometry, DFT SCAN
data_LaSnSeN2
_chemical_formula_sum 'La1 Sn1 Se1 N2'
_cell_length_a 4.2416
_cell_length_b 4.2416
_cell_length_c 6.0879
_cell_angle_alpha 90.00
_cell_angle_beta 90.00
_cell_angle_gamma 90.00
_space_group_name_H-M_alt 'P 1'
_space_group_IT_number 1
loop_
_space_group_symop_operation_xyz
'x,y,z'
loop_
_atom_site_label
_atom_site_type_symbol
_atom_site_fract_x
_atom_site_fract_y
_atom_site_fract_z
_atom_site_occupancy
Sn1 Sn 0.5000 0.5000 0.5000 1
La1 La 0.0000 0.0000 0.0000 1
Se1 Se 0.0000 0.0000 0.5000 1
N1 N 0.0000 0.5000 0.0000 1
N2 N 0.5000 0.0000 0.0000 1
# **Formation energy without anion corrections**: 0.4547 eV per atom
# **Energy**: -23.08 eV per atom
# **Space-group type**: P4/mmm

***

[6]
# N, PBEsol geometry, DFT SCAN
data_N
_chemical_formula_sum 'N4'
_cell_length_a 3.2663
_cell_length_b 3.2663
_cell_length_c 3.2663
_cell_angle_alpha 109.47
_cell_angle_beta 109.47
_cell_angle_gamma 109.47
_space_group_name_H-M_alt 'P 1'
_space_group_IT_number 1
loop_
_space_group_symop_operation_xyz
'x,y,z'
loop_
_atom_site_label
_atom_site_type_symbol
_atom_site_fract_x
_atom_site_fract_y
_atom_site_fract_z
_atom_site_occupancy
N1 N 0.6713 0.0000 0.0000 1
N2 N 0.5000 0.6713 0.5000 1
N3 N 0.0000 0.5000 0.1713 1
N4 N 0.8287 0.8287 0.3287 1
# **Formation energy without anion corrections**: 1.4195 eV per atom
# **Energy**: -7.87 eV per atom
# **Space-group type**: I2_13

***

[7]
# Li2Cu, PBEsol geometry, DFT SCAN
data_Li2Cu
_chemical_formula_sum 'Li2 Cu1'
_cell_length_a 2.7135
_cell_length_b 2.7135
_cell_length_c 6.0558
_cell_angle_alpha 102.95
_cell_angle_beta 102.95
_cell_angle_gamma 90.00
_space_group_name_H-M_alt 'P 1'
_space_group_IT_number 1
loop_
_space_group_symop_operation_xyz
'x,y,z'
loop_
_atom_site_label
_atom_site_type_symbol
_atom_site_fract_x
_atom_site_fract_y
_atom_site_fract_z
_atom_site_occupancy
Cu1 Cu 0.5000 0.5000 0.0000 1
Li1 Li 0.8514 0.8514 0.7028 1
Li2 Li 0.1486 0.1486 0.2972 1
# **Energy**: -6.64 eV per atom
# **DFT formation energy**: 23 meV/atom
# **Space-group type**: I4/mmm

***

[8]
# K2TiFeRe, PBEsol geometry, DFT SCAN
data_K2TiFeRe
_chemical_formula_sum 'K2 Ti1 Fe1 Re1'
_cell_length_a 4.5177
_cell_length_b 6.1980
_cell_length_c 6.1980
_cell_angle_alpha 90.00
_cell_angle_beta 90.00
_cell_angle_gamma 90.00
_space_group_name_H-M_alt 'P 1'
_space_group_IT_number 1
loop_
_space_group_symop_operation_xyz
'x,y,z'
loop_
_atom_site_label
_atom_site_type_symbol
_atom_site_fract_x
_atom_site_fract_y
_atom_site_fract_z
_atom_site_occupancy
Re1 Re 0.0000 0.0000 0.0000 1
K1 K 0.0000 0.5000 0.0000 1
Fe1 Fe 0.5000 0.5000 0.5000 1
Ti1 Ti 0.5000 0.0000 0.0000 1
K2 K 0.0000 0.0000 0.5000 1
# **Energy**: -22.60 eV per atom
# **DFT formation energy**: 1779 meV/atom
# **Space-group type**: P4/mmm

***

[9]
# DyMnSi, PBEsol geometry, DFT SCAN
data_DyMnSi
_chemical_formula_sum 'Dy4 Mn4 Si4'
_cell_length_a 4.1331
_cell_length_b 6.9328
_cell_length_c 7.0887
_cell_angle_alpha 90.00
_cell_angle_beta 90.00
_cell_angle_gamma 90.00
_space_group_name_H-M_alt 'P 1'
_space_group_IT_number 1
loop_
_space_group_symop_operation_xyz
'x,y,z'
loop_
_atom_site_label
_atom_site_type_symbol
_atom_site_fract_x
_atom_site_fract_y
_atom_site_fract_z
_atom_site_occupancy
Si1 Si 0.7500 0.7033 0.1135 1
Dy1 Dy 0.2500 0.4940 0.3152 1
Dy2 Dy 0.7500 0.5060 0.6848 1
Dy3 Dy 0.7500 0.0060 0.8152 1
Si2 Si 0.7500 0.2033 0.3865 1
Mn1 Mn 0.2500 0.6378 0.9439 1
Si3 Si 0.2500 0.2967 0.8865 1
Si4 Si 0.2500 0.7967 0.6135 1
Mn2 Mn 0.7500 0.8622 0.4439 1
Dy4 Dy 0.2500 0.9940 0.1848 1
Mn3 Mn 0.7500 0.3622 0.0561 1
Mn4 Mn 0.2500 0.1378 0.5561 1
# **Formation energy without anion corrections**: -0.6041 eV per atom
# **Energy**: -25.96 eV per atom
# **Space-group type**: Pnma

***

[10]
# Zr4Al, PBEsol geometry, DFT SCAN
data_Zr4Al
_chemical_formula_sum 'Zr4 Al1'
_cell_length_a 4.2294
_cell_length_b 5.3879
_cell_length_c 5.3879
_cell_angle_alpha 81.14
_cell_angle_beta 66.89
_cell_angle_gamma 66.89
_space_group_name_H-M_alt 'P 1'
_space_group_IT_number 1
loop_
_space_group_symop_operation_xyz
'x,y,z'
loop_
_atom_site_label
_atom_site_type_symbol
_atom_site_fract_x
_atom_site_fract_y
_atom_site_fract_z
_atom_site_occupancy
Zr1 Zr 0.2024 0.4059 0.1894 1
Zr2 Zr 0.6083 0.1894 0.5941 1
Zr3 Zr 0.3917 0.8106 0.4059 1
Al1 Al 0.0000 0.0000 0.0000 1
Zr4 Zr 0.7976 0.5941 0.8106 1
# **Energy**: -26.28 eV per atom
# **DFT formation energy**: -169 meV/atom
# **Space-group type**: I4/m

***

[11]
# Zn2CuWO6, PBEsol geometry, DFT SCAN
data_Zn2CuWO6
_chemical_formula_sum 'Zn4 Cu2 W2 O12'
_cell_length_a 4.9604
_cell_length_b 5.0649
_cell_length_c 8.3882
_cell_angle_alpha 90.00
_cell_angle_beta 90.88
_cell_angle_gamma 90.00
_space_group_name_H-M_alt 'P 1'
_space_group_IT_number 1
loop_
_space_group_symop_operation_xyz
'x,y,z'
loop_
_atom_site_label
_atom_site_type_symbol
_atom_site_fract_x
_atom_site_fract_y
_atom_site_fract_z
_atom_site_occupancy
O1 O 0.1824 0.6974 0.6020 1
O2 O 0.1374 0.8859 0.2975 1
O3 O 0.3626 0.3859 0.2025 1
O4 O 0.3207 0.1904 0.5458 1
O5 O 0.8176 0.3026 0.3980 1
O6 O 0.6824 0.8026 0.1020 1
Zn1 Zn 0.0083 0.4718 0.7636 1
O7 O 0.1793 0.6904 0.9542 1
W1 W 0.5000 0.5000 0.0000 1
O8 O 0.8626 0.1141 0.7025 1
Zn2 Zn 0.5083 0.0282 0.2636 1
O9 O 0.3176 0.1974 0.8980 1
Zn3 Zn 0.4917 0.9718 0.7364 1
O10 O 0.8207 0.3096 0.0458 1
Cu1 Cu 0.0000 0.0000 0.0000 1
O11 O 0.6793 0.8096 0.4542 1
Cu2 Cu 0.5000 0.5000 0.5000 1
O12 O 0.6374 0.6141 0.7975 1
W2 W 0.0000 0.0000 0.5000 1
Zn4 Zn 0.9917 0.5282 0.2364 1
# **Formation energy without anion corrections**: -1.6351 eV per atom
# **Energy**: -16.57 eV per atom
# **Space-group type**: P2_1/c

***

[12]
# Sm3Mg21Sb16, PBEsol geometry, DFT SCAN
data_Sm3Mg21Sb16
_chemical_formula_sum 'Sm3 Mg21 Sb16'
_cell_length_a 4.5971
_cell_length_b 4.5971
_cell_length_c 57.7329
_cell_angle_alpha 90.00
_cell_angle_beta 90.00
_cell_angle_gamma 120.00
_space_group_name_H-M_alt 'P 1'
_space_group_IT_number 1
loop_
_space_group_symop_operation_xyz
'x,y,z'
loop_
_atom_site_label
_atom_site_type_symbol
_atom_site_fract_x
_atom_site_fract_y
_atom_site_fract_z
_atom_site_occupancy
Sb1 Sb 0.6667 0.3333 0.5963 1
Mg1 Mg 0.3333 0.6667 0.9527 1
Mg2 Mg 0.3333 0.6667 0.5783 1
Mg3 Mg 0.0000 0.0000 0.6229 1
Mg4 Mg 0.0000 0.0000 0.1253 1
Mg5 Mg 0.6667 0.3333 0.6675 1
Sb2 Sb 0.3333 0.6667 0.1528 1
Sb3 Sb 0.3333 0.6667 0.7801 1
Sm1 Sm 0.0000 0.0000 0.7494 1
Sb4 Sb 0.6667 0.3333 0.0977 1
Sb5 Sb 0.3333 0.6667 0.6516 1
Mg6 Mg 0.6667 0.3333 0.5451 1
Mg7 Mg 0.0000 0.0000 0.5000 1
Sb6 Sb 0.3333 0.6667 0.0307 1
Mg8 Mg 0.3333 0.6667 0.7018 1
Sm2 Sm 0.0000 0.0000 0.2506 1
Mg9 Mg 0.6667 0.3333 0.0473 1
Sb7 Sb 0.3333 0.6667 0.9023 1
Mg10 Mg 0.6667 0.3333 0.1689 1
Sb8 Sb 0.6667 0.3333 0.7188 1
Sb9 Sb 0.3333 0.6667 0.2812 1
Mg11 Mg 0.3333 0.6667 0.3325 1
Mg12 Mg 0.6667 0.3333 0.7968 1
Mg13 Mg 0.0000 0.0000 0.3771 1
Sb10 Sb 0.6667 0.3333 0.4723 1
Sb11 Sb 0.3333 0.6667 0.5277 1
Sb12 Sb 0.3333 0.6667 0.4037 1
Mg14 Mg 0.6667 0.3333 0.4217 1
Mg15 Mg 0.3333 0.6667 0.0816 1
Sb13 Sb 0.6667 0.3333 0.8472 1
Sb14 Sb 0.6667 0.3333 0.3484 1
Sb15 Sb 0.6667 0.3333 0.2199 1
Mg16 Mg 0.6667 0.3333 0.9184 1
Sm3 Sm 0.0000 0.0000 0.0000 1
Mg17 Mg 0.6667 0.3333 0.2982 1
Mg18 Mg 0.3333 0.6667 0.2032 1
Sb16 Sb 0.6667 0.3333 0.9693 1
Mg19 Mg 0.0000 0.0000 0.8747 1
Mg20 Mg 0.3333 0.6667 0.4549 1
Mg21 Mg 0.3333 0.6667 0.8311 1
# **Formation energy without anion corrections**: -0.5178 eV per atom
# **Energy**: -21.37 eV per atom
# **Space-group type**: P-3m1

***

[13]
# HfNi5, PBEsol geometry, DFT SCAN
data_HfNi5
_chemical_formula_sum 'Hf1 Ni5'
_cell_length_a 4.6484
_cell_length_b 4.6484
_cell_length_c 4.6484
_cell_angle_alpha 60.00
_cell_angle_beta 60.00
_cell_angle_gamma 60.00
_space_group_name_H-M_alt 'P 1'
_space_group_IT_number 1
loop_
_space_group_symop_operation_xyz
'x,y,z'
loop_
_atom_site_label
_atom_site_type_symbol
_atom_site_fract_x
_atom_site_fract_y
_atom_site_fract_z
_atom_site_occupancy
Ni1 Ni 0.8721 0.3760 0.3760 1
Ni2 Ni 0.7500 0.7500 0.7500 1
Ni3 Ni 0.3760 0.3760 0.3760 1
Ni4 Ni 0.3760 0.8721 0.3760 1
Hf1 Hf 0.0000 0.0000 0.0000 1
Ni5 Ni 0.3760 0.3760 0.8721 1
# **Energy**: -24.24 eV per atom
# **DFT formation energy**: -320 meV/atom
# **Space-group type**: F-43m